(1)
Entry from OQMD: a geometry-optimized Hf2Zr2O5 structure (GGA-PBE). Values from VASP.

Quantum ESPRESSO input file:
```
&SYSTEM
  ibrav = 0, nat = 9, ntyp = 3
/
ATOMIC_SPECIES
O 16.00 O.upf
Zr 91.22 Zr.upf
Hf 178.49 Hf.upf
CELL_PARAMETERS angstrom
7.167 0.000 0.000
0.000 4.030 0.000
0.000 0.000 4.030
ATOMIC_POSITIONS angstrom
O 2.106 2.015 0.000
O 2.106 0.000 2.015
O 5.060 2.015 0.000
O 5.060 0.000 2.015
O 3.583 2.015 2.015
Zr 1.520 2.015 2.015
Zr 5.646 2.015 2.015
Hf 0.000 0.000 0.000
Hf 3.583 0.000 0.000
```

Output
SG: P4/mmm
Crystal system: tetragonal

(2)
Entry from OQMD: a geometry-optimized Hf2Zr2O5 structure (GGA-PBE). Values from VASP.

Quantum ESPRESSO input file:
```
&SYSTEM
  ibrav = 0, nat = 9, ntyp = 3
/
ATOMIC_SPECIES
O 16.00 O.upf
Hf 178.49 Hf.upf
Zr 91.22 Zr.upf
CELL_PARAMETERS angstrom
-1.018 5.557 4.268
-3.852 0.225 -1.212
-1.087 -2.496 2.991
ATOMIC_POSITIONS angstrom
O -1.286 2.802 4.606
O -2.668 4.163 2.504
O -0.820 0.259 2.653
O -2.202 1.620 0.551
O -2.979 1.643 3.023
Hf -3.268 3.224 4.238
Hf -2.689 0.062 1.809
Zr -0.509 2.779 2.134
Zr 0.000 0.000 0.000
```

Output
SG: P4/mmm
Crystal system: tetragonal

(3)
Entry from OQMD: a geometry-optimized Hf31ZrO64 structure (GGA-PBE). Values from VASP.

Quantum ESPRESSO input file:
```
&SYSTEM
  ibrav = 0, nat = 96, ntyp = 3
/
ATOMIC_SPECIES
Hf 178.49 Hf.upf
O 16.00 O.upf
Zr 91.22 Zr.upf
CELL_PARAMETERS angstrom
10.167 0.000 0.000
0.002 10.365 0.000
1.704 0.001 10.357
ATOMIC_POSITIONS angstrom
Hf 10.207 1.514 1.080
Hf 5.977 1.514 6.257
Hf 3.782 9.291 6.690
Hf 5.127 6.698 1.083
Hf 5.980 6.699 6.253
Hf 11.061 6.697 6.259
Hf 11.479 8.861 8.846
Hf 8.868 9.287 6.690
Hf 6.404 3.670 8.846
Hf 8.865 4.106 6.692
Hf 3.357 6.263 4.104
Hf 5.121 1.515 1.079
Hf 9.290 1.082 9.283
Hf 11.477 3.667 8.847
Hf 8.438 1.081 4.102
Hf 9.292 6.264 9.282
Hf 3.779 4.099 6.687
Hf 8.012 9.289 1.515
Hf 3.355 1.080 4.103
Hf 10.203 6.698 1.084
Hf 10.635 8.853 3.668
Hf 6.409 8.860 8.847
Hf 5.550 3.673 3.668
Hf 2.932 4.103 1.519
Hf 10.634 3.671 3.669
Hf 2.931 9.291 1.516
Hf 5.550 8.854 3.668
Hf 11.057 1.514 6.255
Hf 8.012 4.105 1.515
Hf 4.205 1.082 9.281
Hf 8.441 6.262 4.104
O 2.649 5.673 6.042
O 10.435 0.049 7.673
O 8.157 9.885 8.622
O 1.788 5.667 0.881
O 3.067 4.674 8.621
O 6.688 2.110 4.327
O 9.491 7.821 5.276
O 1.601 2.105 4.324
O 8.633 2.638 0.099
O 10.436 5.230 7.674
O 7.727 0.484 6.032
O 9.487 2.639 5.275
O 6.878 5.669 0.857
O 2.024 3.077 6.910
O 2.223 4.692 3.455
O 2.220 9.881 3.448
O 4.406 7.822 5.275
O 8.628 7.824 0.100
O 7.539 7.291 9.505
O 7.123 8.257 6.916
O 5.352 0.051 7.673
O 1.791 0.487 0.856
O 10.863 5.137 10.264
O 4.927 5.137 5.083
O 9.061 2.546 2.687
O 2.450 2.103 9.503
O 1.178 3.077 1.738
O 9.582 5.229 2.498
O 4.845 7.746 7.852
O 3.549 2.638 0.097
O 10.012 5.138 5.085
O 7.729 5.667 6.031
O 10.861 10.323 10.264
O 8.153 4.702 8.622
O 3.980 7.729 2.690
O 4.405 2.638 5.275
O 9.915 7.730 7.865
O 5.780 10.328 10.261
O 9.911 2.545 7.865
O 7.540 2.111 9.506
O 4.501 5.232 2.499
O 6.872 0.485 0.855
O 1.604 7.289 4.327
O 2.434 7.292 9.510
O 4.499 0.049 2.495
O 6.691 7.293 4.327
O 3.072 9.880 8.624
O 2.031 8.261 6.916
O 4.831 2.546 7.863
O 9.583 0.047 2.495
O 10.011 10.319 5.083
O 4.927 10.321 5.084
O 6.263 8.259 1.741
O 5.794 5.128 10.276
O 2.643 0.489 6.034
O 6.260 3.078 1.737
O 9.063 7.729 2.688
O 7.117 3.072 6.917
O 3.979 2.546 2.687
O 5.362 5.221 7.660
O 7.300 4.702 3.444
O 7.301 9.885 3.444
O 3.570 7.838 0.107
O 1.178 8.262 1.737
Zr 4.207 6.264 9.273
```

Output
SG: P1
Crystal system: triclinic

Calculated energy relative to the lowest polymorph listed for this composition (eV/f.u.), listed in the same order as above: 2.351, 0.000, 0.000
Calculated spin magnetization (μB per cell), listed in the same order as above: 0.57, 0.28, 0.00